[1]
NpMoP2Ir | the Alexandria database | PBE | relaxed; magnetic moment = 3.70 Bohr magnetons per cell; energy relative to the elements = -0.556 eV/atom; space group = I-4m2, No. 119
1.0
4.114 0.000 0.000
0.000 4.114 0.000
-2.057 -2.057 4.913
Np Mo P Ir
1 1 2 1
Cartesian
0.000 0.000 0.000
2.057 0.000 2.456
2.057 2.057 1.214
0.000 0.000 3.698
0.000 2.057 2.456

---

[2]
NpSi2MoIr | the Alexandria database | PBE | relaxed; electronic total energy = -9.137 eV/atom; magnetic moment = 3.54 Bohr magnetons per cell; space group = I-4m2, No. 119
1.0
4.180 0.000 0.000
0.000 4.180 0.000
-2.090 -2.090 4.953
Np Si Mo Ir
1 2 1 1
Cartesian
0.000 0.000 0.000
2.090 2.090 1.201
0.000 0.000 3.752
2.090 0.000 2.476
0.000 2.090 2.476

---

[3]
NpTiMoIr | the Alexandria database | PBE | relaxed; magnetic moment = 3.02 Bohr magnetons per cell; energy relative to the elements = -0.199 eV/atom; space group = F-43m, No. 216
1.0
-0.067 -1.151 -4.468
-3.606 -2.296 -1.737
-2.912 2.120 -2.885
Np Mo Ir Ti
1 1 1 1
Cartesian
-1.646 -0.332 -2.273
-3.293 -0.664 -4.545
0.000 0.000 0.000
-4.939 -0.995 -6.818

---

[4]
NpVMoIr | the Alexandria database | PBE | relaxed; magnetic moment = 2.85 Bohr magnetons per cell; energy relative to the elements = 0.017 eV/atom; space group = F-43m, No. 216
1.0
-2.517 -2.936 -2.419
1.920 -3.752 -1.744
-1.016 -4.097 1.730
Np Mo Ir V
1 1 1 1
Cartesian
-0.403 -2.696 -0.608
-0.807 -5.393 -1.217
0.000 0.000 0.000
-1.210 -8.089 -1.825